Entry from Alexandria via LeMat-Bulk: an optimized crystal structure of VFeRe2 (GGA-PBE).

Cell and atoms, written as extended XYZ:
```
8
Lattice="-3.407 3.407 2.524 3.407 -3.407 2.524 3.407 3.407 -2.524" Properties=species:S:1:pos:R:3 pbc="T T T"
V 0.000 0.000 0.000
V 0.000 3.407 1.262
Fe 3.407 0.000 1.262
Fe 0.000 0.000 2.524
Re 1.704 1.863 -0.631
Re 4.951 1.704 0.631
Re 1.704 1.544 1.893
Re -1.544 1.704 3.155
```

E_form = 269 kJ/mol of formula units
Magnetization = 0.0 Bohr magnetons per cell
DOS at the Fermi energy = 4.177 states/eV/f.u.
Volume = 117.2 Å³ per cell

=====

Entry from Alexandria via LeMat-Bulk: an optimized crystal structure of VFeRe (GGA-PBE).

Cell and atoms, written as extended XYZ:
```
3
Lattice="4.249 0.000 0.000 -2.125 3.680 0.000 0.000 0.000 2.561" Properties=species:S:1:pos:R:3 pbc="T T T"
V 0.000 0.000 0.000
Fe 2.125 1.227 0.794
Re 0.000 2.453 1.711
```

E_form = -22 kJ/mol of formula units
Magnetization = 2.3 Bohr magnetons per cell
DOS at the Fermi energy = 2.354 states/eV/f.u.
Volume = 40.1 Å³ per cell

=====

Entry from Alexandria via LeMat-Bulk: an optimized crystal structure of VFe2Re2 (GGA-PBE).

Cell and atoms, written as extended XYZ:
```
10
Lattice="7.072 0.000 0.000 0.000 7.072 0.000 0.000 0.000 2.654" Properties=species:S:1:pos:R:3 pbc="T T T"
V 0.000 0.000 0.000
V 3.536 3.536 0.000
Fe 0.870 2.666 0.000
Fe 2.666 6.202 0.000
Fe 4.406 0.870 0.000
Fe 6.202 4.406 0.000
Re 1.222 4.758 1.327
Re 2.314 1.222 1.327
Re 4.758 5.850 1.327
Re 5.850 2.314 1.327
```

E_form = 57 kJ/mol of formula units
Magnetization = 0.0 Bohr magnetons per cell
DOS at the Fermi energy = 5.012 states/eV/f.u.
Volume = 132.7 Å³ per cell

=====

Entry from Alexandria via LeMat-Bulk: an optimized crystal structure of V2FeRe (GGA-PBE).

Cell and atoms, written as extended XYZ:
```
8
Lattice="1.487 -8.641 0.000 1.487 8.641 0.000 0.000 0.000 4.155" Properties=species:S:1:pos:R:3 pbc="T T T"
V 1.487 7.620 3.116
V 1.487 5.712 1.039
V 1.487 -5.712 3.116
V 1.487 -7.620 1.039
Fe 1.487 0.942 3.116
Fe 1.487 -0.942 1.039
Re 1.487 3.207 1.039
Re 1.487 -3.207 3.116
```

E_form = 22 kJ/mol of formula units
Magnetization = 1.9 Bohr magnetons per cell
DOS at the Fermi energy = 4.231 states/eV/f.u.
Volume = 106.7 Å³ per cell

=====

no.,electronic total energy (eV per atom)
1,-9.923
2,-10.086
3,-10.070
4,-9.731